TcNiW2: relaxed, PBE-GGA.

Calculated formation energy = 0.619 eV per formula unit
Space-group type = Cm (8)

```
TcNiW2
1.0
4.706 -0.008 0.010
3.885 2.656 0.010
0.788 0.243 4.670
Ni Tc W
1 1 2
Direct
0.501 0.501 0.510 Ni
0.241 0.241 0.252 Tc
0.998 0.998 0.012 W
0.759 0.759 0.726 W
```


TcNiW2: relaxed, PBE-GGA.

Calculated formation energy = 0.213 eV per formula unit
Space-group type = I4/mmm (139)

```
TcNiW2
1.0
-0.762 -4.601 -0.486
2.554 -1.485 -3.640
1.222 2.512 3.766
Ni Tc W
1 1 2
Direct
0.250 0.750 0.500 Ni
0.750 0.250 0.500 Tc
0.000 0.000 0.000 W
0.500 0.500 0.000 W
```


TcNiW2: relaxed, PBE-GGA.

Calculated formation energy = 0.578 eV per formula unit
Space-group type = I-4m2 (119)

```
TcNiW2
1.0
4.719 -0.034 0.000
1.524 4.466 0.000
-3.121 -2.216 2.760
Ni Tc W
1 1 2
Direct
0.500 0.500 0.000 Ni
0.750 0.250 0.500 Tc
0.000 0.000 0.000 W
0.250 0.750 0.500 W
```


TcNiW2: relaxed, PBE-GGA.

Calculated formation energy = 1.031 eV per formula unit
Space-group type = R-3m (166)

```
TcNiW2
1.0
9.072 0.006 0.003
8.651 2.732 0.003
8.651 1.337 2.383
Ni Tc W
1 1 2
Direct
0.250 0.250 0.250 Ni
0.750 0.750 0.750 Tc
0.998 0.998 0.998 W
0.502 0.502 0.502 W
```


TcNiW: relaxed, PBE-GGA.

Calculated formation energy = 0.269 eV per formula unit
Space-group type = Imm2 (44)

```
TcNiW
1.0
4.715 -0.006 0.003
2.306 4.112 -0.003
-3.016 -2.898 2.175
Ni Tc W
1 1 1
Direct
0.998 0.998 0.000 Ni
0.339 0.339 0.000 Tc
0.663 0.663 0.000 W
```


YTc2Ni: relaxed, PBE-GGA.

Calculated formation energy = 1.702 eV per formula unit
Space-group type = Cmmm (65)

```
YTc2Ni
1.0
5.164 -0.011 0.000
-2.427 4.557 0.000
0.000 0.000 2.793
Ni Tc Y
1 2 1
Direct
0.000 0.500 0.500 Ni
0.000 0.000 0.000 Tc
0.500 0.500 0.000 Tc
0.500 0.000 0.500 Y
```


YTc2Ni: relaxed, PBE-GGA.

Calculated formation energy = 0.197 eV per formula unit
Space-group type = R3m (160)

```
YTc2Ni
1.0
-1.994 -2.876 -2.403
2.109 -3.393 -1.438
-1.211 -4.557 2.711
Ni Tc Y
1 2 1
Direct
0.300 0.300 0.101 Ni
0.001 0.001 0.997 Tc
0.700 0.700 0.900 Tc
0.499 0.499 0.502 Y
```


Y2TcNi: relaxed, PBE-GGA.

Calculated formation energy = 0.557 eV per formula unit
Space-group type = I-4m2 (119)

```
Y2TcNi
1.0
-3.957 3.974 0.960
-1.535 1.193 5.347
4.791 -0.581 -3.013
Ni Tc Y
1 1 2
Direct
0.500 0.500 0.000 Ni
0.750 0.250 0.500 Tc
0.000 0.000 0.000 Y
0.250 0.750 0.500 Y
```


Y8TcNi2: relaxed, PBE-GGA.

Calculated formation energy = -0.761 eV per formula unit
Space-group type = Cm (8)

```
Y8TcNi2
1.0
5.743 0.100 -0.937
-1.876 6.710 -2.893
-0.053 -0.173 7.542
Y Tc Ni
8 1 2
Direct
0.578 0.332 0.079 Y
0.578 0.079 0.332 Y
0.172 0.364 0.364 Y
0.991 0.217 0.782 Y
0.991 0.782 0.217 Y
0.816 0.644 0.644 Y
0.390 0.926 0.673 Y
0.390 0.673 0.926 Y
0.102 0.005 0.005 Tc
0.496 0.697 0.314 Ni
0.496 0.314 0.697 Ni
```


YTc2Ni: relaxed, PBE-GGA.

Calculated formation energy = 2.359 eV per formula unit
Space-group type = R-3m (166)

```
YTc2Ni
1.0
-5.375 -5.994 -5.108
-3.368 -5.482 -7.037
-2.976 -7.495 -5.087
Ni Tc Y
1 2 1
Direct
0.750 0.750 0.750 Ni
0.012 0.012 0.012 Tc
0.488 0.488 0.488 Tc
0.250 0.250 0.250 Y
```


Y2Tc3Ni: relaxed, PBE-GGA.

Calculated formation energy = -1.358 eV per formula unit
Space-group type = R-3m (166)

```
Y2Tc3Ni
1.0
1.129 5.006 -0.913
-3.493 -2.470 -2.977
-2.936 -1.240 4.467
Y Tc Ni
2 3 1
Direct
0.752 0.376 0.128 Y
0.248 0.624 0.872 Y
0.500 0.500 0.500 Tc
0.000 0.000 0.500 Tc
0.500 0.000 0.500 Tc
0.000 0.000 0.000 Ni
```


YTcNi2: relaxed, PBE-GGA.

Calculated formation energy = 0.223 eV per formula unit
Space-group type = P4/mmm (123)

```
YTcNi2
1.0
3.203 0.003 0.000
-0.004 3.203 0.000
0.000 0.000 6.227
Ni Tc Y
2 1 1
Direct
0.000 0.000 0.055 Ni
0.000 0.000 0.445 Ni
0.500 0.500 0.250 Tc
0.500 0.500 0.750 Y
```


YTc2Ni: relaxed, PBE-GGA.

Calculated formation energy = 0.581 eV per formula unit
Space-group type = Imm2 (44)

```
YTc2Ni
1.0
-0.937 4.356 0.745
-2.085 0.247 -4.001
-1.228 -3.081 3.068
Ni Tc Y
1 2 1
Direct
0.246 0.746 0.500 Ni
0.997 0.997 0.000 Tc
0.757 0.257 0.500 Tc
0.500 0.500 0.000 Y
```


YTc2Ni: relaxed, PBE-GGA.

Calculated formation energy = 1.614 eV per formula unit
Space-group type = I-42d (122)

```
YTc2Ni
1.0
-1.757 3.352 0.326
-3.177 -1.528 -1.415
-5.407 -1.526 8.688
Y Ni Tc
2 2 4
Direct
0.000 0.000 0.000 Y
0.750 0.250 0.500 Y
0.500 0.500 0.000 Ni
0.250 0.750 0.500 Ni
0.564 0.125 0.250 Tc
0.186 0.625 0.250 Tc
0.375 0.436 0.750 Tc
0.875 0.814 0.750 Tc
```


YTcNi2: relaxed, PBE-GGA.

Calculated formation energy = 0.652 eV per formula unit
Space-group type = Imm2 (44)

```
YTcNi2
1.0
-3.249 3.943 1.651
-3.158 -0.773 4.273
4.979 0.205 -1.999
Ni Tc Y
2 1 1
Direct
0.027 0.027 0.000 Ni
0.245 0.745 0.500 Ni
0.474 0.474 0.000 Tc
0.754 0.254 0.500 Y
```


Y2TcNi: relaxed, PBE-GGA.

Calculated formation energy = 0.749 eV per formula unit
Space-group type = R-3m (166)

```
Y2TcNi
1.0
8.286 0.013 0.008
7.548 3.420 0.008
7.548 1.636 3.003
Ni Tc Y
1 1 2
Direct
0.250 0.250 0.250 Ni
0.750 0.750 0.750 Tc
0.998 0.998 0.998 Y
0.502 0.502 0.502 Y
```


YTcNi2: relaxed, PBE-GGA.

Calculated formation energy = 1.711 eV per formula unit
Space-group type = I-42d (122)

```
YTcNi2
1.0
4.357 0.000 0.000
0.000 4.357 0.000
2.179 2.179 8.149
Y Ni Tc
2 4 2
Direct
0.500 0.500 0.000 Y
0.250 0.750 0.500 Y
0.781 0.125 0.250 Ni
0.969 0.625 0.250 Ni
0.375 0.219 0.750 Ni
0.875 0.031 0.750 Ni
0.000 0.000 0.000 Tc
0.750 0.250 0.500 Tc
```


YTcNi2: relaxed, PBE-GGA.

Calculated formation energy = 0.108 eV per formula unit
Space-group type = Pm (6)

```
YTcNi2
1.0
4.172 0.000 0.000
0.000 3.112 -0.011
0.000 0.885 4.865
Ni Tc Y
2 1 1
Direct
0.000 0.155 0.989 Ni
0.500 0.138 0.294 Ni
0.000 0.485 0.407 Tc
0.500 0.721 0.810 Y
```


Y2Tc2Ni: relaxed, PBE-GGA.

Calculated formation energy = 0.266 eV per formula unit
Space-group type = P4/mbm (127)

```
Y2Tc2Ni
1.0
6.668 0.000 0.000
0.000 6.668 0.000
0.000 0.000 4.472
Y Ni Tc
4 2 4
Direct
0.182 0.682 0.500 Y
0.682 0.818 0.500 Y
0.818 0.318 0.500 Y
0.318 0.182 0.500 Y
0.000 0.000 0.000 Ni
0.500 0.500 0.000 Ni
0.377 0.877 0.000 Tc
0.877 0.623 0.000 Tc
0.623 0.123 0.000 Tc
0.123 0.377 0.000 Tc
```


YTc2Ni: relaxed, PBE-GGA.

Calculated formation energy = 0.448 eV per formula unit
Space-group type = Pm (6)

```
YTc2Ni
1.0
-1.215 0.979 -3.942
1.388 -2.494 -1.047
-3.985 -3.581 0.339
Ni Tc Y
1 2 1
Direct
0.500 0.915 0.748 Ni
0.000 0.876 0.043 Tc
0.500 0.223 0.159 Tc
0.000 0.486 0.550 Y
```


YTcNi2: relaxed, PBE-GGA.

Calculated formation energy = 0.383 eV per formula unit
Space-group type = Pmm2 (25)

```
YTcNi2
1.0
-2.334 -0.698 1.817
2.113 -0.947 2.350
0.051 5.869 2.319
Ni Tc Y
2 1 1
Direct
0.000 0.000 0.050 Ni
0.500 0.500 0.246 Ni
0.000 0.000 0.437 Tc
0.500 0.500 0.766 Y
```


YTc2Ni: relaxed, PBE-GGA.

Calculated formation energy = 2.107 eV per formula unit
Space-group type = Fm-3m (225)

```
YTc2Ni
1.0
4.518 0.000 0.000
2.259 3.913 0.000
2.259 1.304 3.689
Ni Tc Y
1 2 1
Direct
0.000 0.000 0.000 Ni
0.750 0.750 0.750 Tc
0.250 0.250 0.250 Tc
0.500 0.500 0.500 Y
```


Y2TcNi: relaxed, PBE-GGA.

Calculated formation energy = -0.446 eV per formula unit
Space-group type = Pmmm (47)

```
Y2TcNi
1.0
3.471 0.000 0.000
0.000 3.418 -0.006
0.000 3.431 6.736
Ni Tc Y
1 1 2
Direct
0.500 0.250 0.250 Ni
0.500 0.750 0.750 Tc
0.000 0.000 0.000 Y
0.000 0.500 0.500 Y
```


YTcNi2: relaxed, PBE-GGA.

Calculated formation energy = 0.395 eV per formula unit
Space-group type = P4/mmm (123)

```
YTcNi2
1.0
4.177 0.000 0.000
0.000 4.177 0.000
0.000 0.000 3.580
Ni Tc Y
2 1 1
Direct
0.000 0.000 0.000 Ni
0.500 0.500 0.000 Ni
0.500 0.000 0.500 Tc
0.000 0.500 0.500 Y
```


YTc2Ni: relaxed, PBE-GGA.

Calculated formation energy = 0.812 eV per formula unit
Space-group type = P4/mmm (123)

```
YTc2Ni
1.0
4.621 0.000 0.000
0.000 3.782 0.000
0.000 0.000 3.782
Ni Tc Y
1 2 1
Direct
0.500 0.000 0.500 Ni
0.000 0.000 0.000 Tc
0.000 0.500 0.500 Tc
0.500 0.500 0.000 Y
```


YTcNi3: relaxed, PBE-GGA.

Calculated formation energy = 2.380 eV per formula unit
Space-group type = Pm-3m (221)

```
YTcNi3
1.0
4.508 0.000 0.000
0.000 4.508 0.000
0.000 0.000 4.508
Y Ni Tc
1 3 1
Direct
0.500 0.500 0.500 Y
0.000 0.500 0.000 Ni
0.000 0.000 0.500 Ni
0.500 0.000 0.000 Ni
0.000 0.000 0.000 Tc
```


Y2TcNi: relaxed, PBE-GGA.

Calculated formation energy = 1.240 eV per formula unit
Space-group type = F-43m (216)

```
Y2TcNi
1.0
-1.133 -1.008 4.529
-4.313 -1.763 1.047
-0.448 -4.546 1.395
Ni Tc Y
1 1 2
Direct
0.500 0.500 0.500 Ni
0.750 0.750 0.750 Tc
0.000 0.000 0.000 Y
0.250 0.250 0.250 Y
```


YTcNi2: relaxed, PBE-GGA.

Calculated formation energy = 2.026 eV per formula unit
Space-group type = R3m (160)

```
YTcNi2
1.0
8.840 -0.010 -0.006
8.367 2.851 -0.006
8.367 1.382 2.493
Ni Tc Y
2 1 1
Direct
0.990 0.990 0.990 Ni
0.252 0.252 0.252 Ni
0.513 0.513 0.513 Tc
0.746 0.746 0.746 Y
```


YTcNi2: relaxed, PBE-GGA.

Calculated formation energy = 0.439 eV per formula unit
Space-group type = Fm-3m (225)

```
YTcNi2
1.0
2.956 -2.088 2.645
-1.439 -2.742 3.242
0.607 -4.426 -0.374
Y Ni Tc
1 2 1
Direct
0.000 0.000 0.000 Y
0.250 0.250 0.250 Ni
0.750 0.750 0.750 Ni
0.500 0.500 0.500 Tc
```


no.,magnetic moment (μB per formula unit)
1,0.0
2,0.0
3,0.0
4,0.0
5,0.0
6,0.0
7,0.0
8,0.0
9,0.0
10,0.1
11,0.0
12,1.0
13,0.0
14,0.0
15,0.0
16,0.0
17,0.2
18,0.0
19,0.0
20,0.0
21,0.0
22,2.2
23,0.0
24,1.9
25,0.0
26,0.0
27,1.0
28,0.5
29,2.6